No. 1
Density functional theory data (PBE) for an optimized crystal structure of PrSb3Rh3.

```
14
Lattice="7.136 0.000 0.000 0.000 7.136 0.000 0.000 0.000 7.136" Properties=species:S:1:pos:R:3 pbc="T T T"
Pr 0.000 0.000 0.000
Pr 3.568 3.568 3.568
Sb 0.000 1.784 3.568
Sb 0.000 5.352 3.568
Sb 1.784 3.568 0.000
Sb 3.568 0.000 1.784
Sb 3.568 0.000 5.352
Sb 5.352 3.568 0.000
Rh 0.000 3.568 1.784
Rh 0.000 3.568 5.352
Rh 1.784 0.000 3.568
Rh 3.568 1.784 0.000
Rh 3.568 5.352 0.000
Rh 5.352 0.000 3.568
```

Values from the calculation:
Density of states at the Fermi level (states/eV per atom): 0.861
Symmetry: Pm-3n (223)
E_form (uncorrected) (eV/atom): -0.2542
Energy above the lowest structure with this stoichiometry (meV/atom): 266

No. 2
Density functional theory data (PBE) for an optimized crystal structure of CaBe2NiH8.

```
12
Lattice="4.146 0.000 0.000 1.729 3.835 0.000 0.055 1.697 6.033" Properties=species:S:1:pos:R:3 pbc="T T T"
Ca 0.000 0.000 0.000
Be 2.262 1.574 1.951
Be 3.668 3.958 4.083
Ni 0.028 0.849 3.017
H 2.046 3.838 4.262
H 1.355 1.579 3.241
H 2.259 3.033 1.975
H 1.965 1.121 0.608
H 3.966 4.411 5.425
H 3.671 2.499 4.058
H 4.575 3.954 2.792
H 3.884 1.694 1.771
```

Values from the calculation:
Uncorrected energy (eV for the cell shown): -43.58
Density of states at the Fermi level (states/eV per atom): 0.013
Symmetry: P-1 (2)

No. 3
Density functional theory data (PBE) for an optimized crystal structure of SmDy4ScSe8.

```
14
Lattice="4.182 2.414 6.857 -4.182 2.414 6.857 0.000 -4.828 6.857" Properties=species:S:1:pos:R:3 pbc="T T T"
Sm 0.000 0.000 0.000
Dy 0.000 2.484 17.035
Dy 2.151 -1.242 17.035
Dy -2.151 -1.242 17.035
Dy 0.000 0.000 12.785
Sc 0.000 0.000 7.622
Se -2.211 -1.277 11.826
Se 0.000 0.000 4.998
Se 0.000 -2.431 8.548
Se -2.105 1.215 8.548
Se 2.211 -1.277 11.826
Se 2.105 1.215 8.548
Se 0.000 2.553 11.826
Se 0.000 0.000 15.531
```

Values from the calculation:
Density of states at the Fermi level (states/eV per atom): 0.492
Symmetry: R3m (160)
E_form (uncorrected) (eV/atom): -1.7067

No. 4
Density functional theory data (PBE) for an optimized crystal structure of InOs2Au.

```
4
Lattice="4.509 0.000 0.000 0.000 4.509 0.000 0.000 0.000 3.237" Properties=species:S:1:pos:R:3 pbc="T T T"
In 0.000 0.000 0.000
Os 0.000 2.254 1.618
Os 2.254 0.000 1.618
Au 2.254 2.254 0.000
```

Values from the calculation:
ΔE_f (eV/atom): 0.7530
Density of states at the Fermi level (states/eV per atom): 1.002
Symmetry: P4/mmm (123)

No. 5
Density functional theory data (PBE) for an optimized crystal structure of CeTl4Se4.

```
9
Lattice="7.364 -2.180 0.000 7.364 2.180 0.000 -5.399 0.000 9.302" Properties=species:S:1:pos:R:3 pbc="T T T"
Ce 0.000 0.000 0.000
Tl -1.242 0.000 7.235
Tl 2.838 0.000 5.583
Tl 6.492 0.000 3.719
Tl 10.572 0.000 2.067
Se 0.961 0.000 2.680
Se 5.548 0.000 0.646
Se 3.782 0.000 8.655
Se 8.369 0.000 6.622
```

Values from the calculation:
Symmetry: C2/m (12)
E_form (uncorrected) (eV/atom): -0.8442

No. 6
Density functional theory data (PBE) for an optimized crystal structure of FeIr2I.

```
4
Lattice="0.000 3.175 3.175 3.175 0.000 3.175 3.175 3.175 0.000" Properties=species:S:1:pos:R:3 pbc="T T T"
Fe 0.000 0.000 0.000
Ir 1.587 1.587 1.587
Ir 4.762 4.762 4.762
I 3.175 3.175 3.175
```

Values from the calculation:
Density of states at the Fermi level (states/eV per atom): 3.286
Symmetry: Fm-3m (225)
E_form (uncorrected) (eV/atom): 1.2377
Energy above the lowest structure with this stoichiometry (meV/atom): 336

No. 7
Density functional theory data (PBE) for an optimized crystal structure of Li2TcSbC.

```
5
Lattice="4.877 0.000 0.000 0.000 4.877 0.000 0.000 0.000 3.837" Properties=species:S:1:pos:R:3 pbc="T T T"
Li 0.000 2.438 0.000
Li 2.438 0.000 0.000
Tc 0.000 0.000 0.000
Sb 2.438 2.438 1.918
C 0.000 0.000 1.918
```

Values from the calculation:
Density of states at the Fermi level (states/eV per atom): 0.333
Symmetry: P4/mmm (123)
E_form (uncorrected) (eV/atom): 0.9477

No. 8
Density functional theory data (PBE) for an optimized crystal structure of La2Tm6Th.

```
18
Lattice="5.616 -8.051 0.000 5.616 8.051 0.000 -0.898 0.000 6.487" Properties=species:S:1:pos:R:3 pbc="T T T"
La 1.017 1.078 2.791
La 0.568 -1.078 6.035
La 9.766 1.078 0.452
La 9.317 -1.078 3.696
Tm 3.924 5.320 0.464
Tm 3.639 3.521 4.028
Tm 6.859 5.320 2.780
Tm 3.489 0.628 5.518
Tm 6.246 3.521 5.703
Tm 3.938 -0.628 2.275
Tm 6.396 0.628 4.212
Tm 4.088 -3.521 0.784
Tm 6.845 -0.628 0.969
Tm 3.475 -5.320 3.708
Tm 6.695 -3.521 2.459
Tm 6.410 -5.320 6.023
Th 5.391 2.383 1.622
Th 4.942 -2.383 4.865
```

Values from the calculation:
ΔE_f (eV/atom): 0.1773
Density of states at the Fermi level (states/eV per atom): 1.440
Symmetry: C2/c (15)
Energy above the lowest structure with this stoichiometry (meV/atom): 105